Here is a relaxed AcBeNiN crystal from Alexandria. Energies are from PBE.

Properties
calculated volume: 121.78 Å³ per cell
energy relative to the elements, uncorrected: -737 meV per atom
space group: P4/nmm, No. 129

Lattice parameters (Å, degrees): 3.907 3.907 7.978 90.00 90.00 90.00
Positions (direct):
Ac1 0.000 0.500 0.825
Ac2 0.500 0.000 0.175
Be1 0.000 0.500 0.357
Be2 0.500 0.000 0.643
Ni1 0.000 0.000 0.500
Ni2 0.500 0.500 0.500
N1 0.500 0.000 0.846
N2 0.000 0.500 0.154

=====

Here is a relaxed LaBe4SiIr2 crystal from Alexandria. Energies are from PBE.

Properties
calculated volume: 113.02 Å³ per cell
energy relative to the elements, uncorrected: -320 meV per atom
space group: R-3m, No. 166

Lattice parameters (Å, degrees): 3.942 3.942 8.701 76.91 76.91 60.00
Positions (direct):
La1 0.000 0.000 0.000
Be1 0.412 0.412 0.764
Be2 0.879 0.879 0.364
Be3 0.121 0.121 0.636
Be4 0.588 0.588 0.236
Si1 0.500 0.500 0.500
Ir1 0.779 0.779 0.662
Ir2 0.221 0.221 0.338

=====

Here is a relaxed ZrZnTeI2 crystal from Alexandria. Energies are from PBE.

Properties
calculated volume: 181.42 Å³ per cell
energy relative to the elements, uncorrected: 226 meV per atom
space group: P4/mmm, No. 123
energy relative to the lowest polymorph listed for this composition: 498 meV/atom

Lattice parameters (Å, degrees): 5.621 5.742 5.621 90.00 90.00 90.00
Last column: magnetic moment on the atom in μB.
Positions (direct):
I1 0.000 0.000 0.500  0.05
I2 0.500 0.000 0.000  0.04
Zn1 0.000 0.500 0.000  0.00
Te1 0.500 0.500 0.500  0.59
Zr1 0.000 0.000 0.000  -0.24

=====

Here is a relaxed BaMgAs2 crystal from Alexandria. Energies are from PBE.

Properties
calculated volume: 103.82 Å³ per cell
space group: P2/m, No. 10
formation energy from the elements: -1.93 eV per formula unit

Lattice parameters (Å, degrees): 3.886 3.360 8.191 76.11 90.00 90.00
Positions (direct):
As1 0.000 0.928 0.965
As2 0.000 0.572 0.535
Ba1 0.500 0.250 0.250
Mg1 0.500 0.750 0.750

=====

Here is a relaxed Mg2CdGe crystal from Alexandria. Energies are from PBE.

Properties
calculated volume: 182.75 Å³ per cell
space group: I-42d, No. 122
formation energy from the elements: 0.45 eV per formula unit

Lattice parameters (Å, degrees): 4.359 4.359 10.101 77.54 77.54 90.00
Positions (direct):
Ge1 0.500 0.500 0.000
Ge2 0.250 0.750 0.500
Mg1 0.620 0.125 0.250
Mg2 0.130 0.625 0.250
Mg3 0.375 0.380 0.750
Mg4 0.875 0.870 0.750
Cd1 0.000 0.000 0.000
Cd2 0.750 0.250 0.500

=====

Here is a relaxed Sm3BiCCl crystal from Alexandria. Energies are from PBE.

Properties
calculated volume: 330.35 Å³ per cell
energy relative to the elements, uncorrected: -746 meV per atom
space group: P2_1/m, No. 11

Lattice parameters (Å, degrees): 3.847 8.740 9.980 100.08 90.00 90.00
Last column: magnetic moment on the atom in μB.
Positions (direct):
Sm1 0.750 0.838 0.143  0.02
Sm2 0.250 0.162 0.857  0.02
Sm3 0.250 0.636 0.386  0.28
Sm4 0.750 0.364 0.614  0.28
Sm5 0.750 0.426 0.118  0.08
Sm6 0.250 0.574 0.882  0.08
Bi1 0.250 0.162 0.206  -0.01
Bi2 0.750 0.838 0.794  -0.01
C1 0.250 0.638 0.144  0.00
C2 0.750 0.362 0.856  0.00
Cl1 0.250 0.136 0.577  0.01
Cl2 0.750 0.864 0.423  0.01

=====

Repeat the fifth record exactly.
Here is a relaxed Mg2CdGe crystal from Alexandria. Energies are from PBE.

Properties
calculated volume: 182.75 Å³ per cell
space group: I-42d, No. 122
formation energy from the elements: 0.45 eV per formula unit

Lattice parameters (Å, degrees): 4.359 4.359 10.101 77.54 77.54 90.00
Positions (direct):
Ge1 0.500 0.500 0.000
Ge2 0.250 0.750 0.500
Mg1 0.620 0.125 0.250
Mg2 0.130 0.625 0.250
Mg3 0.375 0.380 0.750
Mg4 0.875 0.870 0.750
Cd1 0.000 0.000 0.000
Cd2 0.750 0.250 0.500